Computed, not measured: a relaxed structure of SrTl3Cd2F9 at the GGA-PBE level of DFT.

Lattice parameters (Å, degrees): 6.4331 6.4331 8.1603 90.00 90.00 120.00
With the nearest neighbours (Å) after each atom.
Fractional coordinates of all 15 atoms:
1 Sr 0.0000 0.0000 0.5000  6 F 2.40
2 Tl 0.3333 0.6667 0.7307  3 F 2.88
3 Tl 0.0000 0.0000 0.0000  12 F 3.11-3.22
4 Tl 0.6667 0.3333 0.2693  3 F 2.88
5 Cd 0.3333 0.6667 0.1696  6 F 2.21-2.32
6 Cd 0.6667 0.3333 0.8304  6 F 2.21-2.32
7 F 0.8366 0.1634 0.6913  1 Cd 2.21, 1 Sr 2.40
8 F 0.8366 0.6732 0.6913  1 Cd 2.21, 1 Sr 2.40
9 F 0.3268 0.1634 0.6913  1 Cd 2.21, 1 Sr 2.40
10 F 0.6732 0.8366 0.3087  1 Cd 2.21, 1 Sr 2.40
11 F 0.1634 0.3268 0.3087  1 Cd 2.21, 1 Sr 2.40
12 F 0.1634 0.8366 0.3087  1 Cd 2.21, 1 Sr 2.40
13 F 0.5000 0.0000 0.0000  2 Cd 2.32
14 F 0.0000 0.5000 0.0000  2 Cd 2.32
15 F 0.5000 0.5000 0.0000  2 Cd 2.32

## Properties
Crystal system: trigonal
Energy relative to the elements, uncorrected (eV/atom): -2.36
Magnetization (Bohr magnetons per cell): 0.00